This record from the Alexandria database describes crystalline SrAg2RuF8 at its relaxed geometry. The functional is GGA-PBE.

```
SrAg2RuF8
1.0
-3.857 0.790 2.046
2.951 -0.430 4.863
1.400 7.353 -0.199
Sr Ag Ru F
1 2 1 8
direct
0.000 0.000 0.500
0.500 0.500 0.752
0.500 0.500 0.248
0.000 0.000 0.000
0.116 0.797 0.202
0.638 0.791 0.000
0.884 0.203 0.202
0.884 0.203 0.798
0.362 0.209 0.000
0.116 0.797 0.798
0.524 0.758 0.500
0.476 0.242 0.500
```

**N(E_F)**: 4.5 states/eV per cell
**Crystal system**: monoclinic
**Uncorrected formation energy**: -2.018 eV per atom
**Space-group type**: No. 10
**Total moment**: 0.17 μB/atom